Crystalline TeAsBr2N at its relaxed geometry, computed with GGA-PBE.

Results
Its crystal system is tetragonal. Its raw formation energy is 95 kJ per mole of atoms. Its polymorph energy (0 for the lowest one) is 0 meV/atom. The calculation puts the magnetic moment at 0.00 μB per formula unit. The symmetry is No. 123.

a = 4.5665 Å, b = 4.5665 Å, c = 4.9592 Å
α = 90.00°, β = 90.00°, γ = 90.00°
Sites, in units of the cell vectors:
Te1 0.0000 0.0000 0.0000
As1 0.5000 0.5000 0.0000
Br1 0.0000 0.5000 0.5000
Br2 0.5000 0.0000 0.5000
N1 0.5000 0.5000 0.5000